! ScTcMo | Alexandria | PBE | optimized geometry; values from VASP
! Distance to the lowest polymorph of the same formula, meV per atom: 374.4
! VASP energy, eV per formula unit: -26.936
! DOS at the Fermi energy, states/eV per cell: 4.31
! DFT formation energy, eV per atom: 0.197
&SYSTEM
  ibrav = 0, nat = 3, ntyp = 3
/
ATOMIC_SPECIES
Sc 44.96 Sc.upf
Mo 95.94 Mo.upf
Tc 98.00 Tc.upf
CELL_PARAMETERS angstrom
-2.198 1.536 3.904
0.668 -3.019 3.587
2.143 2.944 -3.028
ATOMIC_POSITIONS angstrom
Sc -0.510 -0.494 2.495
Mo -1.517 -1.471 7.429
Tc -1.033 -1.002 5.058